(1)
Be3TlGa | GGA-PBE | relaxed

Cell: 4.5949 4.5949 4.5949 Å, 90.00 90.00 90.00°
Closest atoms and distances in Å follow each position.
Element x y z (fractional)
1 Be 0.0000 0.0000 0.5000  2 Tl 2.30
2 Be 0.0000 0.5000 0.0000  2 Tl 2.30
3 Be 0.5000 0.0000 0.0000  2 Tl 2.30
4 Tl 0.0000 0.0000 0.0000  6 Be 2.30
5 Ga 0.5000 0.5000 0.5000  12 Be 3.25

Values from the calculation:
- Formation energy from the elements: 1.183 eV per atom

(2)
BeTl2Ga2 | GGA-PBE | relaxed

Cell: 6.4094 6.4094 5.3805 Å, 90.00 90.00 90.00°
Closest atoms and distances in Å follow each position.
Element x y z (fractional)
1 Be 0.0000 0.0000 0.0000  4 Ga 2.41
2 Be 0.5000 0.5000 0.0000  4 Ga 2.41
3 Tl 0.1754 0.3246 0.5000  6 Ga 3.09-3.44, 5 Tl 3.18-3.34
4 Tl 0.3246 0.8246 0.5000  6 Ga 3.09-3.44, 5 Tl 3.18-3.34
5 Tl 0.6754 0.1754 0.5000  6 Ga 3.09-3.44, 5 Tl 3.18-3.34
6 Tl 0.8246 0.6754 0.5000  6 Ga 3.09-3.44, 5 Tl 3.18-3.34
7 Ga 0.1580 0.6580 0.0000  2 Be 2.41
8 Ga 0.3420 0.1580 0.0000  2 Be 2.41
9 Ga 0.6580 0.8420 0.0000  2 Be 2.41
10 Ga 0.8420 0.3420 0.0000  2 Be 2.41

Values from the calculation:
- Formation energy from the elements: 0.271 eV per atom

(3)
Be2TlGa | GGA-PBE | relaxed

Cell: 8.3867 8.3867 8.3867 Å, 150.27 150.27 42.55°
Closest atoms and distances in Å follow each position.
Element x y z (fractional)
1 Be 0.3750 0.1567 0.2817  2 Be 2.17, 2 Ga 2.23
2 Be 0.8433 0.1250 0.2183  2 Be 2.17, 2 Ga 2.23
3 Be 0.8750 0.0933 0.7183  2 Be 2.17, 2 Ga 2.23
4 Be 0.9067 0.6250 0.7817  2 Be 2.17, 2 Ga 2.23
5 Tl 0.2500 0.7500 0.5000  8 Be 3.01-3.20, 4 Ga 3.04
6 Tl 0.5000 0.5000 0.0000  8 Be 3.01-3.20, 4 Ga 3.04
7 Ga 0.0000 0.0000 0.0000  4 Be 2.23
8 Ga 0.7500 0.2500 0.5000  4 Be 2.23

Values from the calculation:
- Formation energy from the elements: 0.483 eV per atom

(4)
Be3TlGa | GGA-PBE | relaxed

Cell: 4.3902 4.3902 4.3902 Å, 90.00 90.00 90.00°
Closest atoms and distances in Å follow each position.
Element x y z (fractional)
1 Be 0.0000 0.0000 0.5000  2 Ga 2.20
2 Be 0.0000 0.5000 0.0000  2 Ga 2.20
3 Be 0.5000 0.0000 0.0000  2 Ga 2.20
4 Tl 0.5000 0.5000 0.5000  12 Be 3.10
5 Ga 0.0000 0.0000 0.0000  6 Be 2.20

Values from the calculation:
- Formation energy from the elements: 0.803 eV per atom

(5)
Be2TlGa2 | GGA-PBE | relaxed

Cell: 6.6738 6.6738 3.7227 Å, 90.00 90.00 90.00°
Closest atoms and distances in Å follow each position.
Element x y z (fractional)
1 Be 0.1147 0.3853 0.0000  1 Be 2.16
2 Be 0.3853 0.8853 0.0000  1 Be 2.16
3 Be 0.6147 0.1147 0.0000  1 Be 2.16
4 Be 0.8853 0.6147 0.0000  1 Be 2.16
5 Tl 0.0000 0.0000 0.0000  4 Be 2.68
6 Tl 0.5000 0.5000 0.0000  4 Be 2.68
7 Ga 0.1540 0.6540 0.5000  6 Be 2.60-2.87, 1 Ga 2.91
8 Ga 0.3460 0.1540 0.5000  6 Be 2.60-2.87, 1 Ga 2.91
9 Ga 0.6540 0.8460 0.5000  6 Be 2.60-2.87, 1 Ga 2.91
10 Ga 0.8460 0.3460 0.5000  6 Be 2.60-2.87, 1 Ga 2.91

Values from the calculation:
- Formation energy from the elements: 0.415 eV per atom

(6)
BeTl3Ga | GGA-PBE | relaxed

Cell: 5.5097 5.5097 5.5097 Å, 90.00 90.00 90.00°
Closest atoms and distances in Å follow each position.
Element x y z (fractional)
1 Be 0.0000 0.0000 0.0000  12 Tl 3.90
2 Tl 0.0000 0.5000 0.5000  2 Ga 2.75
3 Tl 0.5000 0.0000 0.5000  2 Ga 2.75
4 Tl 0.5000 0.5000 0.0000  2 Ga 2.75
5 Ga 0.5000 0.5000 0.5000  6 Tl 2.75

Values from the calculation:
- Formation energy from the elements: 0.785 eV per atom

(7)
Be2TlGa | GGA-PBE | relaxed

Cell: 4.5069 4.5069 4.5069 Å, 60.00 60.00 60.00°
Closest atoms and distances in Å follow each position.
Element x y z (fractional)
1 Be 0.2500 0.2500 0.2500  4 Tl 2.76, 4 Ga 2.76
2 Be 0.7500 0.7500 0.7500  4 Ga 2.76, 4 Tl 2.76
3 Tl 0.0000 0.0000 0.0000  8 Be 2.76
4 Ga 0.5000 0.5000 0.5000  8 Be 2.76

Values from the calculation:
- Formation energy from the elements: 0.723 eV per atom

(8)
BeTl3Ga | GGA-PBE | relaxed

Cell: 5.0758 5.0758 5.0758 Å, 90.00 90.00 90.00°
Closest atoms and distances in Å follow each position.
Element x y z (fractional)
1 Be 0.0000 0.0000 0.0000  6 Tl 2.54
2 Tl 0.0000 0.0000 0.5000  2 Be 2.54
3 Tl 0.0000 0.5000 0.0000  2 Be 2.54
4 Tl 0.5000 0.0000 0.0000  2 Be 2.54
5 Ga 0.5000 0.5000 0.5000  12 Tl 3.59

Values from the calculation:
- Formation energy from the elements: 0.376 eV per atom

(9)
BeTlGa3 | GGA-PBE | relaxed

Cell: 5.4240 5.4240 5.4240 Å, 90.00 90.00 90.00°
Closest atoms and distances in Å follow each position.
Element x y z (fractional)
1 Be 0.0000 0.0000 0.0000  12 Ga 3.84
2 Tl 0.5000 0.5000 0.5000  6 Ga 2.71
3 Ga 0.0000 0.5000 0.5000  2 Tl 2.71
4 Ga 0.5000 0.0000 0.5000  2 Tl 2.71
5 Ga 0.5000 0.5000 0.0000  2 Tl 2.71

Values from the calculation:
- Formation energy from the elements: 1.119 eV per atom

(10)
BeTlGa3 | GGA-PBE | relaxed

Cell: 4.6757 4.6757 4.6757 Å, 90.00 90.00 90.00°
Closest atoms and distances in Å follow each position.
Element x y z (fractional)
1 Be 0.0000 0.0000 0.0000  6 Ga 2.34
2 Tl 0.5000 0.5000 0.5000  12 Ga 3.31
3 Ga 0.0000 0.0000 0.5000  2 Be 2.34
4 Ga 0.0000 0.5000 0.0000  2 Be 2.34
5 Ga 0.5000 0.0000 0.0000  2 Be 2.34

Values from the calculation:
- Formation energy from the elements: 0.233 eV per atom

(11)
BeTlGa2 | GGA-PBE | relaxed

Cell: 8.5651 8.5651 8.5651 Å, 149.17 149.17 44.17°
Closest atoms and distances in Å follow each position.
Element x y z (fractional)
1 Be 0.0000 0.0000 0.0000  4 Ga 2.38
2 Be 0.7500 0.2500 0.5000  4 Ga 2.38
3 Tl 0.2500 0.7500 0.5000  4 Ga 2.81
4 Tl 0.5000 0.5000 0.0000  4 Ga 2.81
5 Ga 0.0173 0.6250 0.8923  2 Be 2.38, 2 Ga 2.62
6 Ga 0.3750 0.2673 0.3923  2 Be 2.38, 2 Ga 2.62
7 Ga 0.7327 0.1250 0.1077  2 Be 2.38, 2 Ga 2.62
8 Ga 0.8750 0.9827 0.6077  2 Be 2.38, 2 Ga 2.62

Values from the calculation:
- Formation energy from the elements: 0.328 eV per atom

(12)
BeTlGa2 | GGA-PBE | relaxed

Cell: 4.8403 4.8403 4.8403 Å, 60.00 60.00 60.00°
Closest atoms and distances in Å follow each position.
Element x y z (fractional)
1 Be 0.0000 0.0000 0.0000  8 Ga 2.96
2 Tl 0.5000 0.5000 0.5000  8 Ga 2.96
3 Ga 0.2500 0.2500 0.2500  4 Tl 2.96, 4 Be 2.96
4 Ga 0.7500 0.7500 0.7500  4 Tl 2.96, 4 Be 2.96

Values from the calculation:
- Formation energy from the elements: 0.517 eV per atom